Here is a relaxed Ba2P3 crystal from the Alexandria database. Energies are from PBE-GGA.

abc: 9.789 8.480 6.657
angles: 79.59 58.43 41.98
Fractional positions:
P 0.258 0.242 0.242
Ba 0.848 0.741 0.006
Ba 0.406 0.006 0.741
Ba 0.509 0.402 0.844
Ba 0.244 0.844 0.402
P 0.325 0.365 0.397
P 0.008 0.992 0.992
P 0.853 0.337 0.925
P 0.885 0.925 0.337
P 0.913 0.397 0.365

For the total moment, the calculation gives 0.00 μB per formula unit. The symmetry is Fdd2. For the density of states at the Fermi level, the calculation gives 1.13 states/eV/f.u. The relative energy among the computed polymorphs comes out at 0 meV/atom.

---

Here is a relaxed Rb2Zn2Au3 crystal from the Alexandria database. Energies are from PBE-GGA.

abc: 4.796 7.797 6.646
angles: 103.16 90.00 107.91
Fractional positions:
Au 0.712 0.425 0.378
Zn 0.852 0.704 0.715
Zn 0.148 0.296 0.285
Au 0.000 0.000 0.000
Au 0.288 0.575 0.622
Rb 0.615 0.230 0.802
Rb 0.385 0.770 0.198

For the total moment, the calculation gives 0.00 μB per formula unit. The symmetry is C2/m. For the density of states at the Fermi level, the calculation gives 2.14 states/eV/f.u. The relative energy among the computed polymorphs comes out at 31 meV/atom.

---

Here is a relaxed KDyGe2O6 crystal from the Alexandria database. Energies are from PBE-GGA.

abc: 5.379 7.487 7.487
angles: 91.60 85.38 85.38
Fractional positions:
O 0.098 0.278 0.399
O 0.307 0.252 0.010
O 0.902 0.722 0.601
Dy 0.250 0.282 0.718
O 0.402 0.601 0.722
Dy 0.750 0.718 0.282
O 0.619 0.195 0.589
O 0.598 0.399 0.278
Ge 0.224 0.791 0.618
O 0.381 0.805 0.411
O 0.693 0.748 0.990
K 0.250 0.911 0.089
Ge 0.776 0.209 0.382
K 0.750 0.089 0.911
Ge 0.724 0.618 0.791
O 0.881 0.411 0.805
O 0.193 0.990 0.748
O 0.119 0.589 0.195
O 0.807 0.010 0.252
Ge 0.276 0.382 0.209

For the total moment, the calculation gives 0.00 μB per formula unit. The symmetry is C2/c. For the density of states at the Fermi level, the calculation gives 0.00 states/eV/f.u. The raw formation energy is -2.150 eV per atom.

---

Here is a relaxed Y3TiTl crystal from the Alexandria database. Energies are from PBE-GGA.

abc: 5.694 5.694 5.694
angles: 90.00 90.00 90.00
Fractional positions:
Y 0.000 0.000 0.500
Y 0.000 0.500 0.000
Ti 0.500 0.500 0.500
Tl 0.000 0.000 0.000
Y 0.500 0.000 0.000

For the total moment, the calculation gives 4.88 μB per formula unit. The symmetry is Pm-3m. For the density of states at the Fermi level, the calculation gives 7.56 states/eV/f.u. The relative energy among the computed polymorphs comes out at 295 meV/atom.

---

Here is a relaxed Pr2MgSi3Ir4 crystal from the Alexandria database. Energies are from PBE-GGA.

abc: 4.174 4.174 10.367
angles: 90.00 90.00 90.00
Fractional positions:
Pr 0.500 0.000 0.248
Ir 0.500 0.500 0.000
Ir 0.500 0.000 0.643
Ir 0.000 0.500 0.357
Si 0.500 0.000 0.876
Mg 0.500 0.500 0.500
Si 0.000 0.000 0.500
Si 0.000 0.500 0.124
Ir 0.000 0.000 0.000
Pr 0.000 0.500 0.752

For the total moment, the calculation gives 0.00 μB per formula unit. The symmetry is P-4m2. For the density of states at the Fermi level, the calculation gives 6.77 states/eV/f.u. The raw formation energy is -0.898 eV per atom.

---

Here is a relaxed Nd3InHg5 crystal from the Alexandria database. Energies are from PBE-GGA.

abc: 6.541 9.175 9.175
angles: 120.00 90.00 90.00
Fractional positions:
Nd 0.250 0.000 0.338
Hg 0.000 0.667 0.333
Nd 0.750 0.338 0.338
Hg 0.000 0.333 0.667
Hg 0.250 0.329 0.329
Hg 0.250 0.671 0.000
Hg 0.750 0.671 0.671
Hg 0.750 0.000 0.329
Hg 0.500 0.333 0.667
Hg 0.250 0.000 0.671
In 0.500 0.000 0.000
Nd 0.250 0.662 0.662
In 0.000 0.000 0.000
Nd 0.750 0.000 0.662
Hg 0.500 0.667 0.333
Nd 0.250 0.338 0.000
Nd 0.750 0.662 0.000
Hg 0.750 0.329 0.000

Its total DFT energy (no corrections) is -2.52 eV per atom. For the total moment, the calculation gives 0.00 μB per formula unit. The symmetry is P6_3/mcm. For the density of states at the Fermi level, the calculation gives 5.08 states/eV/f.u.